PBE ScHg2Pb, optimized geometry; calculated formation energy = -161 meV/atom; magnetization = 0.00 Bohr magnetons per cell; crystal system = monoclinic; symmetry = Cm, No. 8
1.0
11.675 0.000 0.000
0.000 3.482 0.000
-1.961 0.000 4.922
Sc Hg Pb
2 4 2
direct
0.000 0.000 0.000 Sc
0.500 0.500 0.000 Sc
0.207 0.500 0.367 Hg
0.470 0.000 0.511 Hg
0.707 0.000 0.367 Hg
0.970 0.500 0.511 Hg
0.259 0.000 0.903 Pb
0.759 0.500 0.903 Pb

PBE Sc2HgPb, optimized geometry; calculated formation energy = -288 meV/atom; magnetization = 0.00 Bohr magnetons per cell; crystal system = trigonal; symmetry = R-3m, No. 166
1.0
3.533 0.000 0.000
-1.766 3.059 0.000
0.000 0.000 27.247
Sc Hg Pb
6 3 3
direct
0.000 0.000 0.246 Sc
0.000 0.000 0.754 Sc
0.333 0.667 0.421 Sc
0.333 0.667 0.913 Sc
0.667 0.333 0.087 Sc
0.667 0.333 0.579 Sc
0.000 0.000 0.500 Hg
0.333 0.667 0.167 Hg
0.667 0.333 0.833 Hg
0.000 0.000 0.000 Pb
0.333 0.667 0.667 Pb
0.667 0.333 0.333 Pb

PBE Sc2Hg3Pb, optimized geometry; calculated formation energy = -261 meV/atom; magnetization = 0.30 Bohr magnetons per cell; crystal system = tetragonal; symmetry = P4/mmm, No. 123
1.0
3.583 0.000 0.000
0.000 3.583 0.000
0.000 0.000 11.131
Sc Hg Pb
2 3 1
direct
0.000 0.000 0.158 Sc
0.000 0.000 0.842 Sc
0.500 0.500 0.000 Hg
0.500 0.500 0.303 Hg
0.500 0.500 0.697 Hg
0.000 0.000 0.500 Pb

PBE Sc2HgPb, optimized geometry; calculated formation energy = 87 meV/atom; magnetization = 9.24 Bohr magnetons per cell; crystal system = cubic; symmetry = F-43m, No. 216
1.0
7.363 0.000 0.000
0.000 7.363 0.000
0.000 0.000 7.363
Sc Hg Pb
8 4 4
direct
0.000 0.000 0.000 Sc
0.000 0.500 0.500 Sc
0.250 0.250 0.250 Sc
0.250 0.750 0.750 Sc
0.500 0.000 0.500 Sc
0.500 0.500 0.000 Sc
0.750 0.250 0.750 Sc
0.750 0.750 0.250 Sc
0.000 0.000 0.500 Hg
0.000 0.500 0.000 Hg
0.500 0.000 0.000 Hg
0.500 0.500 0.500 Hg
0.250 0.250 0.750 Pb
0.250 0.750 0.250 Pb
0.750 0.250 0.250 Pb
0.750 0.750 0.750 Pb

PBE Sc2HgPb2, optimized geometry; calculated formation energy = -154 meV/atom; energy above the lowest structure with this stoichiometry = 5.66 kJ/mol of atoms; magnetization = 0.00 Bohr magnetons per cell; crystal system = tetragonal; symmetry = P4/mbm, No. 127
1.0
7.994 0.000 0.000
0.000 7.994 0.000
0.000 0.000 3.989
Sc Hg Pb
4 2 4
direct
0.174 0.326 0.000 Sc
0.326 0.826 0.000 Sc
0.674 0.174 0.000 Sc
0.826 0.674 0.000 Sc
0.000 0.000 0.500 Hg
0.500 0.500 0.500 Hg
0.133 0.633 0.500 Pb
0.367 0.133 0.500 Pb
0.633 0.867 0.500 Pb
0.867 0.367 0.500 Pb

PBE Sc2HgPb, optimized geometry; calculated formation energy = 66 meV/atom; magnetization = 0.00 Bohr magnetons per cell; crystal system = trigonal; symmetry = R-3m, No. 166
1.0
3.324 0.000 0.000
-1.662 2.878 0.000
0.000 0.000 33.158
Sc Hg Pb
6 3 3
direct
0.000 0.000 0.089 Sc
0.000 0.000 0.911 Sc
0.333 0.667 0.577 Sc
0.333 0.667 0.756 Sc
0.667 0.333 0.244 Sc
0.667 0.333 0.423 Sc
0.000 0.000 0.000 Hg
0.333 0.667 0.667 Hg
0.667 0.333 0.333 Hg
0.000 0.000 0.500 Pb
0.333 0.667 0.167 Pb
0.667 0.333 0.833 Pb